No. 1
The following is a GGA-PBEsol calculation of a geometry-optimized Tl2NiW structure, from Alexandria via LeMat-Bulk.

Values from the calculation:
The value obtained for the formation energy from the elements is 0.84 eV/atom. Its total energy is -5.46 eV/atom. The polymorph energy (0 for the lowest one) is 0.359 eV per atom. The calculation puts the calculated density at 15.26 g/cm³. The space group is C2/m, No. 12.

Cell: 5.1627 5.1627 5.1691 Å, 111.59 111.59 33.87°
Fractional positions:
Tl1 0.2279 0.2279 0.2330
Tl2 0.7721 0.7721 0.7670
Ni1 0.5000 0.5000 0.0000
W1 0.0000 0.0000 0.5000


No. 2
The following is a GGA-PBEsol calculation of a geometry-optimized NpSi2Ni structure, from Alexandria via LeMat-Bulk.

Values from the calculation:
The value obtained for the uncorrected formation energy is -10.2 kcal/mol of atoms. Its total energy is -8.32 eV/atom. The calculation puts the calculated density at 9.38 g/cm³. The space group is Cmcm, No. 63.

Cell: 8.1811 8.1811 3.9614 Å, 90.00 90.00 151.96°
Fractional positions:
Np1 0.1029 0.8971 0.7500
Np2 0.8971 0.1029 0.2500
Si1 0.2495 0.7505 0.2500
Si2 0.4599 0.5401 0.7500
Si3 0.5401 0.4599 0.2500
Si4 0.7505 0.2495 0.7500
Ni1 0.3201 0.6799 0.7500
Ni2 0.6799 0.3201 0.2500


No. 3
The following is a GGA-PBEsol calculation of a geometry-optimized HoMn4Cu3O12 structure, from Alexandria via LeMat-Bulk.

Values from the calculation:
The value obtained for the uncorrected formation energy is -37.7 kcal/mol of atoms. Its total energy is -7.63 eV/atom. The calculation puts the calculated density at 6.93 g/cm³. The space group is Im-3, No. 204.

Cell: 6.2039 6.2039 6.2039 Å, 109.47 109.47 109.47°
Fractional positions:
Ho1 0.0000 0.0000 0.0000
Mn1 0.0000 0.0000 0.5000
Mn2 0.0000 0.5000 0.0000
Mn3 0.5000 0.0000 0.0000
Mn4 0.5000 0.5000 0.5000
Cu1 0.0000 0.5000 0.5000
Cu2 0.5000 0.0000 0.5000
Cu3 0.5000 0.5000 0.0000
O1 0.1210 0.8234 0.2976
O2 0.1766 0.2976 0.4742
O3 0.1766 0.7024 0.8790
O4 0.2976 0.1210 0.8234
O5 0.2976 0.4742 0.1766
O6 0.4742 0.1766 0.2976
O7 0.5258 0.8234 0.7024
O8 0.7024 0.5258 0.8234
O9 0.7024 0.8790 0.1766
O10 0.8234 0.2976 0.1210
O11 0.8234 0.7024 0.5258
O12 0.8790 0.1766 0.7024


No. 4
The following is a GGA-PBEsol calculation of a geometry-optimized Si2Os structure, from Alexandria via LeMat-Bulk.

Values from the calculation:
The value obtained for the uncorrected formation energy is -2.8 kcal/mol of atoms. Its total energy is -8.02 eV/atom. The calculation puts the calculated density at 9.69 g/cm³. The space group is I4_1/amd, No. 141.

Cell: 10.4856 10.4856 10.4856 Å, 164.29 164.29 22.28°
Fractional positions:
Si1 0.3018 0.5518 0.7500
Si2 0.4482 0.6982 0.7500
Si3 0.5518 0.3018 0.2500
Si4 0.6982 0.4482 0.2500
Os1 0.1250 0.8750 0.2500
Os2 0.8750 0.1250 0.7500


No. 5
The following is a GGA-PBEsol calculation of a geometry-optimized Li2CaPb2 structure, from Alexandria via LeMat-Bulk.

Values from the calculation:
The value obtained for the formation energy from the elements is -0.36 eV/atom. Its total energy is -3.17 eV/atom. The polymorph energy (0 for the lowest one) is 0.030 eV per atom. The calculation puts the calculated density at 6.29 g/cm³. The space group is I4/mmm, No. 139.

Cell: 7.2258 7.2258 7.2258 Å, 144.98 144.98 50.36°
Fractional positions:
Li1 0.2500 0.7500 0.5000
Li2 0.7500 0.2500 0.5000
Ca1 0.0000 0.0000 0.0000
Pb1 0.3877 0.3877 0.0000
Pb2 0.6123 0.6123 0.0000


No. 6
The following is a GGA-PBEsol calculation of a geometry-optimized HgP4Pb structure, from Alexandria via LeMat-Bulk.

Values from the calculation:
The value obtained for the formation energy from the elements is 0.36 eV/atom. Its total energy is -4.26 eV/atom. The calculation puts the calculated density at 6.77 g/cm³. The space group is F-43m, No. 216.

Cell: 5.6931 5.6931 5.6931 Å, 60.00 60.00 60.00°
Fractional positions:
Hg1 0.0000 0.0000 0.0000
P1 0.0472 0.6510 0.6510
P2 0.6510 0.0472 0.6510
P3 0.6510 0.6510 0.0472
P4 0.6510 0.6510 0.6510
Pb1 0.2500 0.2500 0.2500


No. 7
The following is a GGA-PBEsol calculation of a geometry-optimized TiReSb2 structure, from Alexandria via LeMat-Bulk.

Values from the calculation:
The value obtained for the uncorrected formation energy is 2.5 kcal/mol of atoms. Its total energy is -7.59 eV/atom. The calculation puts the calculated density at 11.08 g/cm³. The space group is Fm-3m, No. 225.

Cell: 4.6599 4.6599 4.6599 Å, 60.00 60.00 60.00°
Fractional positions:
Ti1 0.0000 0.0000 0.0000
Re1 0.5000 0.5000 0.5000
Sb1 0.2500 0.2500 0.2500
Sb2 0.7500 0.7500 0.7500


No. 8
The following is a GGA-PBEsol calculation of a geometry-optimized Ba2C structure, from Alexandria via LeMat-Bulk.

Values from the calculation:
The value obtained for the formation energy from the elements is 0.70 eV/atom. Its total energy is -3.95 eV/atom. The polymorph energy (0 for the lowest one) is 0.035 eV per atom. The calculation puts the calculated density at 4.72 g/cm³. The space group is P4_2/mnm, No. 136.

Cell: 6.8397 6.8397 4.3144 Å, 90.00 90.00 90.00°
Fractional positions:
Ba1 0.1924 0.1924 0.0000
Ba2 0.3076 0.6924 0.5000
Ba3 0.6924 0.3076 0.5000
Ba4 0.8076 0.8076 0.0000
C1 0.0000 0.0000 0.5000
C2 0.5000 0.5000 0.0000


No. 9
The following is a GGA-PBEsol calculation of a geometry-optimized Al4AgAs structure, from Alexandria via LeMat-Bulk.

Values from the calculation:
The value obtained for the formation energy from the elements is 0.26 eV/atom. Its total energy is -3.87 eV/atom. The calculation puts the calculated density at 4.58 g/cm³. The space group is F-43m, No. 216.

Cell: 5.3035 5.3035 5.3035 Å, 60.00 60.00 60.00°
Fractional positions:
Al1 0.1246 0.1246 0.1246
Al2 0.1246 0.1246 0.6262
Al3 0.1246 0.6262 0.1246
Al4 0.6262 0.1246 0.1246
Ag1 0.7500 0.7500 0.7500
As1 0.5000 0.5000 0.5000


No. 10
The following is a GGA-PBEsol calculation of a geometry-optimized Zn3P5 structure, from Alexandria via LeMat-Bulk.

Values from the calculation:
The value obtained for the formation energy from the elements is 0.34 eV/atom. Its total energy is -3.87 eV/atom. The calculation puts the calculated density at 4.84 g/cm³. The space group is Cmmm, No. 65.

Cell: 5.0396 5.0396 4.7437 Å, 90.00 90.00 90.27°
Fractional positions:
Zn1 0.0000 0.0000 0.0000
Zn2 0.1755 0.1755 0.5000
Zn3 0.8245 0.8245 0.5000
P1 0.0000 0.5000 0.0000
P2 0.3469 0.6531 0.5000
P3 0.5000 0.0000 0.0000
P4 0.5000 0.5000 0.0000
P5 0.6531 0.3469 0.5000


No. 11
The following is a GGA-PBEsol calculation of a geometry-optimized Fe3Re structure, from Alexandria via LeMat-Bulk.

Values from the calculation:
The value obtained for the formation energy from the elements is 0.09 eV/atom. Its total energy is -9.97 eV/atom. The calculation puts the calculated density at 12.48 g/cm³. The space group is Immm, No. 71.

Cell: 4.7335 4.7335 4.7335 Å, 144.67 129.05 63.52°
Fractional positions:
Fe1 0.0000 0.0000 0.0000
Fe2 0.2441 0.7441 0.5000
Fe3 0.7559 0.2559 0.5000
Re1 0.5000 0.5000 0.0000


No. 12
The following is a GGA-PBEsol calculation of a geometry-optimized ZrInFe2 structure, from Alexandria via LeMat-Bulk.

Values from the calculation:
The value obtained for the formation energy from the elements is 0.36 eV/atom. Its total energy is -7.14 eV/atom. The calculation puts the calculated density at 8.09 g/cm³. The space group is R-3m, No. 166.

Cell: 8.1673 8.1673 8.1673 Å, 21.69 21.69 21.69°
Fractional positions:
Zr1 0.0000 0.0000 0.0000
In1 0.5000 0.5000 0.5000
Fe1 0.2521 0.2521 0.2521
Fe2 0.7479 0.7479 0.7479